Here is an optimized crystal structure of NaCd3Fe from Alexandria. Energies are from PBE.

## Properties
As for the space group: Pm-3m. As for the crystal system: cubic. The density comes out at 5.104 g cm⁻³. The energy of formation comes out at 1.412 eV/atom.

Cell: 5.1346 5.1346 5.1346 Å, 90.00 90.00 90.00°
Fractional positions:
Na (0.0000, 0.0000, 0.0000)
Cd (0.0000, 0.0000, 0.5000)
Cd (0.0000, 0.5000, 0.0000)
Cd (0.5000, 0.0000, 0.0000)
Fe (0.5000, 0.5000, 0.5000)

Here is an optimized crystal structure of TbPr2Mg from Alexandria. Energies are from PBE.

## Properties
As for the space group: R-3m. As for the crystal system: trigonal. The density comes out at 5.674 g cm⁻³. The energy of formation comes out at 0.183 eV/atom.

Cell: 12.7623 12.7623 12.7623 Å, 15.91 15.91 15.91°
Fractional positions:
Tb (0.0000, 0.0000, 0.0000)
Pr (0.4108, 0.4108, 0.4108)
Pr (0.5892, 0.5892, 0.5892)
Mg (0.5000, 0.5000, 0.5000)